(1)
This record from the Alexandria database describes an optimized crystal structure of TlCrSe2. The functional is PBE-GGA.

The structure in CIF format:
```
data_TlCrSe2
_cell_length_a 3.562
_cell_length_b 4.131
_cell_length_c 7.423
_cell_angle_alpha 82.06
_cell_angle_beta 90.00
_cell_angle_gamma 90.00
_space_group_name_H-M_alt 'P 1'
_space_group_IT_number 1
_space_group_name_Hall 'P 1'
loop_
_atom_site_label
_atom_site_type_symbol
_atom_site_fract_x
_atom_site_fract_y
_atom_site_fract_z
Se1 Se 0.000 0.690 0.528
Se2 Se 0.000 0.810 0.972
Cr1 Cr 0.500 0.750 0.750
Tl1 Tl 0.500 0.250 0.250
```

**Formation energy without anion corrections**: -5.43 kcal/mol of atoms
**Space-group type**: P2/m, No. 10

=====

(2)
This record from the Alexandria database describes an optimized crystal structure of TlCrSe2. The functional is PBE-GGA.

The structure in CIF format:
```
data_TlCrSe2
_cell_length_a 3.060
_cell_length_b 3.060
_cell_length_c 8.842
_cell_angle_alpha 90.00
_cell_angle_beta 90.00
_cell_angle_gamma 90.00
_space_group_name_H-M_alt 'P 1'
_space_group_IT_number 1
_space_group_name_Hall 'P 1'
loop_
_atom_site_label
_atom_site_type_symbol
_atom_site_fract_x
_atom_site_fract_y
_atom_site_fract_z
Tl1 Tl 0.500 0.500 0.250
Se1 Se 0.000 0.000 0.585
Se2 Se 0.000 0.000 0.915
Cr1 Cr 0.500 0.500 0.750
```

**Formation energy without anion corrections**: -1.96 kcal/mol of atoms
**Space-group type**: P4/mmm, No. 123

=====

(3)
This record from the Alexandria database describes an optimized crystal structure of TlCrSe2. The functional is PBE-GGA.

The structure in CIF format:
```
data_TlCrSe2
_cell_length_a 5.754
_cell_length_b 5.754
_cell_length_c 5.754
_cell_angle_alpha 142.49
_cell_angle_beta 110.18
_cell_angle_gamma 82.05
_space_group_name_H-M_alt 'P 1'
_space_group_IT_number 1
_space_group_name_Hall 'P 1'
loop_
_atom_site_label
_atom_site_type_symbol
_atom_site_fract_x
_atom_site_fract_y
_atom_site_fract_z
Se1 Se 0.437 0.437 0.000
Se2 Se 0.063 0.063 0.000
Tl1 Tl 0.750 0.250 0.500
Cr1 Cr 0.250 0.750 0.500
```

**Formation energy without anion corrections**: -4.52 kcal/mol of atoms
**Space-group type**: Immm, No. 71

=====

(4)
This record from the Alexandria database describes an optimized crystal structure of TlCrSe2. The functional is PBE-GGA.

The structure in CIF format:
```
data_TlCrSe2
_cell_length_a 4.072
_cell_length_b 3.989
_cell_length_c 7.241
_cell_angle_alpha 73.93
_cell_angle_beta 90.00
_cell_angle_gamma 90.00
_space_group_name_H-M_alt 'P 1'
_space_group_IT_number 1
_space_group_name_Hall 'P 1'
loop_
_atom_site_label
_atom_site_type_symbol
_atom_site_fract_x
_atom_site_fract_y
_atom_site_fract_z
Cr1 Cr 0.500 0.809 0.007
Se1 Se 0.500 0.209 0.208
Se2 Se 0.000 0.899 0.826
Tl1 Tl 0.000 0.583 0.459
```

**Formation energy without anion corrections**: -6.93 kcal/mol of atoms
**Space-group type**: Pm, No. 6

=====

(5)
This record from the Alexandria database describes an optimized crystal structure of TlCrSe2. The functional is PBE-GGA.

The structure in CIF format:
```
data_TlCrSe2
_cell_length_a 7.365
_cell_length_b 7.365
_cell_length_c 6.632
_cell_angle_alpha 56.27
_cell_angle_beta 56.27
_cell_angle_gamma 90.00
_space_group_name_H-M_alt 'P 1'
_space_group_IT_number 1
_space_group_name_Hall 'P 1'
loop_
_atom_site_label
_atom_site_type_symbol
_atom_site_fract_x
_atom_site_fract_y
_atom_site_fract_z
Tl1 Tl 0.000 0.000 0.000
Tl2 Tl 0.750 0.250 0.500
Se1 Se 0.875 0.782 0.750
Se2 Se 0.218 0.625 0.250
Se3 Se 0.375 0.468 0.750
Se4 Se 0.532 0.125 0.250
Cr1 Cr 0.500 0.500 0.000
Cr2 Cr 0.250 0.750 0.500
```

**Formation energy without anion corrections**: -8.04 kcal/mol of atoms
**Space-group type**: I-42d, No. 122

=====

(6)
This record from the Alexandria database describes an optimized crystal structure of TlCrSe2. The functional is PBE-GGA.

The structure in CIF format:
```
data_TlCrSe2
_cell_length_a 4.808
_cell_length_b 4.808
_cell_length_c 4.808
_cell_angle_alpha 60.00
_cell_angle_beta 60.00
_cell_angle_gamma 60.00
_space_group_name_H-M_alt 'P 1'
_space_group_IT_number 1
_space_group_name_Hall 'P 1'
loop_
_atom_site_label
_atom_site_type_symbol
_atom_site_fract_x
_atom_site_fract_y
_atom_site_fract_z
Tl1 Tl 0.500 0.500 0.500
Cr1 Cr 0.000 0.000 0.000
Se1 Se 0.250 0.250 0.250
Se2 Se 0.750 0.750 0.750
```

**Formation energy without anion corrections**: 12.51 kcal/mol of atoms
**Space-group type**: Fm-3m, No. 225

=====

(7)
This record from the Alexandria database describes an optimized crystal structure of Tl3CrSe3. The functional is PBE-GGA.

The structure in CIF format:
```
data_Tl3CrSe3
_cell_length_a 7.265
_cell_length_b 7.265
_cell_length_c 8.741
_cell_angle_alpha 98.83
_cell_angle_beta 98.83
_cell_angle_gamma 109.15
_space_group_name_H-M_alt 'P 1'
_space_group_IT_number 1
_space_group_name_Hall 'P 1'
loop_
_atom_site_label
_atom_site_type_symbol
_atom_site_fract_x
_atom_site_fract_y
_atom_site_fract_z
Cr1 Cr 0.143 0.143 0.146
Cr2 Cr 0.857 0.857 0.854
Se1 Se 0.135 0.448 0.287
Se2 Se 0.865 0.552 0.713
Se3 Se 0.552 0.865 0.713
Se4 Se 0.853 0.853 0.128
Se5 Se 0.448 0.135 0.287
Se6 Se 0.147 0.147 0.872
Tl1 Tl 0.392 0.392 0.635
Tl2 Tl 0.279 0.721 0.000
Tl3 Tl 0.841 0.159 0.500
Tl4 Tl 0.159 0.841 0.500
Tl5 Tl 0.608 0.608 0.365
Tl6 Tl 0.721 0.279 0.000
```

**Formation energy without anion corrections**: -8.08 kcal/mol of atoms
**Space-group type**: C2/m, No. 12
**ΔE to the lowest computed polymorph**: 64 meV/atom

=====

(8)
This record from the Alexandria database describes an optimized crystal structure of TlCr3Se5. The functional is PBE-GGA.

The structure in CIF format:
```
data_TlCr3Se5
_cell_length_a 10.343
_cell_length_b 10.343
_cell_length_c 12.765
_cell_angle_alpha 58.14
_cell_angle_beta 58.14
_cell_angle_gamma 20.63
_space_group_name_H-M_alt 'P 1'
_space_group_IT_number 1
_space_group_name_Hall 'P 1'
loop_
_atom_site_label
_atom_site_type_symbol
_atom_site_fract_x
_atom_site_fract_y
_atom_site_fract_z
Cr1 Cr 0.163 0.163 0.612
Cr2 Cr 0.983 0.983 0.775
Cr3 Cr 0.837 0.837 0.388
Cr4 Cr 0.017 0.017 0.225
Cr5 Cr 0.500 0.500 0.500
Cr6 Cr 0.500 0.500 0.000
Tl1 Tl 0.262 0.262 0.816
Tl2 Tl 0.738 0.738 0.184
Se1 Se 0.575 0.575 0.608
Se2 Se 0.425 0.425 0.392
Se3 Se 0.081 0.081 0.346
Se4 Se 0.078 0.078 0.849
Se5 Se 0.593 0.593 0.079
Se6 Se 0.255 0.255 0.382
Se7 Se 0.745 0.745 0.618
Se8 Se 0.407 0.407 0.921
Se9 Se 0.922 0.922 0.151
Se10 Se 0.919 0.919 0.654
```

**Formation energy without anion corrections**: -12.22 kcal/mol of atoms
**Space-group type**: C2/m, No. 12

=====

(9)
This record from the Alexandria database describes an optimized crystal structure of TlCr4Se. The functional is PBE-GGA.

The structure in CIF format:
```
data_TlCr4Se
_cell_length_a 5.008
_cell_length_b 5.008
_cell_length_c 5.008
_cell_angle_alpha 60.00
_cell_angle_beta 60.00
_cell_angle_gamma 60.00
_space_group_name_H-M_alt 'P 1'
_space_group_IT_number 1
_space_group_name_Hall 'P 1'
loop_
_atom_site_label
_atom_site_type_symbol
_atom_site_fract_x
_atom_site_fract_y
_atom_site_fract_z
Cr1 Cr 0.376 0.376 0.376
Cr2 Cr 0.376 0.376 0.871
Cr3 Cr 0.376 0.871 0.376
Cr4 Cr 0.871 0.376 0.376
Tl1 Tl 0.000 0.000 0.000
Se1 Se 0.750 0.750 0.750
```

**Formation energy without anion corrections**: 15.70 kcal/mol of atoms
**Space-group type**: F-43m, No. 216

=====

(10)
This record from the Alexandria database describes an optimized crystal structure of Tm3Tl4CrSe8. The functional is PBE-GGA.

The structure in CIF format:
```
data_Tm3Tl4CrSe8
_cell_length_a 8.110
_cell_length_b 9.063
_cell_length_c 8.109
_cell_angle_alpha 116.60
_cell_angle_beta 120.00
_cell_angle_gamma 90.00
_space_group_name_H-M_alt 'P 1'
_space_group_IT_number 1
_space_group_name_Hall 'P 1'
loop_
_atom_site_label
_atom_site_type_symbol
_atom_site_fract_x
_atom_site_fract_y
_atom_site_fract_z
Se1 Se 0.265 0.296 0.530
Se2 Se 0.778 0.306 0.557
Se3 Se 0.222 0.694 0.972
Se4 Se 0.751 0.694 0.972
Se5 Se 0.735 0.704 0.470
Se6 Se 0.249 0.306 0.028
Se7 Se 0.222 0.694 0.443
Se8 Se 0.778 0.306 0.028
Tl1 Tl 0.000 0.000 0.500
Tl2 Tl 0.500 0.000 0.500
Tl3 Tl 0.000 0.000 0.000
Tl4 Tl 0.500 0.000 0.000
Tm1 Tm 0.000 0.500 0.500
Tm2 Tm 0.500 0.500 0.500
Tm3 Tm 0.500 0.500 0.000
Cr1 Cr 0.000 0.500 0.000
```

**Formation energy without anion corrections**: -25.70 kcal/mol of atoms
**Space-group type**: R-3m, No. 166

=====

(11)
This record from the Alexandria database describes an optimized crystal structure of UTl2CrSe4. The functional is PBE-GGA.

The structure in CIF format:
```
data_UTl2CrSe4
_cell_length_a 3.992
_cell_length_b 6.606
_cell_length_c 10.340
_cell_angle_alpha 127.70
_cell_angle_beta 90.00
_cell_angle_gamma 90.00
_space_group_name_H-M_alt 'P 1'
_space_group_IT_number 1
_space_group_name_Hall 'P 1'
loop_
_atom_site_label
_atom_site_type_symbol
_atom_site_fract_x
_atom_site_fract_y
_atom_site_fract_z
Cr1 Cr 0.000 0.000 0.000
Tl1 Tl 0.000 0.500 0.500
Tl2 Tl 0.500 0.000 0.500
Se1 Se 0.000 0.129 0.804
Se2 Se 0.500 0.321 0.183
Se3 Se 0.000 0.871 0.196
Se4 Se 0.500 0.679 0.817
U1 U 0.500 0.500 0.000
```

**Formation energy without anion corrections**: -15.40 kcal/mol of atoms
**Space-group type**: P2/m, No. 10

=====

(12)
This record from the Alexandria database describes an optimized crystal structure of UTl2Cr2Se6. The functional is PBE-GGA.

The structure in CIF format:
```
data_UTl2Cr2Se6
_cell_length_a 6.605
_cell_length_b 6.605
_cell_length_c 8.185
_cell_angle_alpha 97.24
_cell_angle_beta 97.24
_cell_angle_gamma 120.37
_space_group_name_H-M_alt 'P 1'
_space_group_IT_number 1
_space_group_name_Hall 'P 1'
loop_
_atom_site_label
_atom_site_type_symbol
_atom_site_fract_x
_atom_site_fract_y
_atom_site_fract_z
Se1 Se 0.585 0.942 0.311
Se2 Se 0.301 0.301 0.312
Se3 Se 0.415 0.058 0.689
Se4 Se 0.058 0.415 0.689
Se5 Se 0.942 0.585 0.311
Se6 Se 0.699 0.699 0.688
Tl1 Tl 0.842 0.158 0.000
Tl2 Tl 0.158 0.842 0.000
Cr1 Cr 0.667 0.333 0.500
Cr2 Cr 0.333 0.667 0.500
U1 U 0.000 0.000 0.500
```

**Formation energy without anion corrections**: -16.08 kcal/mol of atoms
**Space-group type**: C2/m, No. 12

=====

The highest formation energy without anion corrections belongs to which entry? TlCr4Se

=====

Which of these has the highest formation energy without anion corrections? TlCr4Se